Computed, not measured: crystalline La2GaRuI at its relaxed geometry at the GGA-PBE level of DFT.

## Properties
- ρ: 6.42 Mg/m³
- Uncorrected formation energy: -0.62 eV/atom

Structure (POSCAR):
```
La2GaRuI
1.0
5.533 0.000 0.000
0.000 5.533 0.000
0.000 0.000 4.865
I La Ga Ru
1 2 1 1
Direct
0.500 0.500 0.500
0.500 0.000 0.000
0.000 0.500 0.000
0.000 0.000 0.500
0.000 0.000 0.000
```


Computed, not measured: crystalline La8Ga3RuI4 at its relaxed geometry at the GGA-PBE level of DFT.

## Properties
- ρ: 5.95 Mg/m³
- Uncorrected formation energy: -0.81 eV/atom

Structure (POSCAR):
```
La8Ga3RuI4
1.0
-4.727 -5.941 -4.591
6.256 -6.684 2.208
-3.796 4.529 6.621
I La Ga Ru
4 8 3 1
Direct
0.000 0.000 0.000
0.000 0.000 0.500
0.500 0.000 0.000
0.500 0.000 0.500
0.223 0.696 0.445
0.249 0.304 0.026
0.261 0.282 0.521
0.739 0.718 0.479
0.222 0.696 0.974
0.778 0.304 0.026
0.751 0.696 0.974
0.777 0.304 0.555
0.500 0.500 0.500
0.500 0.500 0.000
0.000 0.500 0.500
0.000 0.500 0.000
```


Computed, not measured: crystalline La8Ga3SI4 at its relaxed geometry at the GGA-PBE level of DFT.

## Properties
- ρ: 5.87 Mg/m³
- Uncorrected formation energy: -1.03 eV/atom

Structure (POSCAR):
```
La8Ga3SI4
1.0
-6.153 6.357 0.420
-4.249 -3.623 -7.409
1.464 -5.216 7.008
I La Ga S
4 8 3 1
Direct
0.500 0.000 0.000
0.500 0.000 0.500
0.000 0.000 0.000
0.000 0.000 0.500
0.260 0.294 0.027
0.737 0.712 0.475
0.767 0.294 0.534
0.740 0.706 0.973
0.233 0.706 0.466
0.263 0.288 0.525
0.233 0.706 0.973
0.767 0.294 0.027
0.500 0.500 0.500
0.500 0.500 0.000
0.000 0.500 0.500
0.000 0.500 0.000
```


Computed, not measured: crystalline LaScGaI2 at its relaxed geometry at the GGA-PBE level of DFT.

## Properties
- ρ: 3.36 Mg/m³
- Uncorrected formation energy: 0.18 eV/atom

Structure (POSCAR):
```
LaScGaI2
1.0
-1.114 4.968 3.457
1.974 -3.302 5.381
5.767 1.938 -0.927
I Sc Ga La
2 1 1 1
Direct
0.000 0.000 0.500
0.500 0.000 0.000
0.000 0.500 0.000
0.500 0.500 0.500
0.000 0.000 0.000
```


Computed, not measured: crystalline La8Ga3SeI4 at its relaxed geometry at the GGA-PBE level of DFT.

## Properties
- ρ: 5.93 Mg/m³
- Uncorrected formation energy: -1.02 eV/atom

Structure (POSCAR):
```
La8Ga3SeI4
1.0
8.964 0.000 0.000
0.000 9.255 0.200
-4.482 -4.479 6.341
La I Ga Se
8 4 3 1
Direct
0.239 0.709 0.477
0.732 0.709 0.971
0.239 0.709 0.971
0.761 0.291 0.029
0.263 0.290 0.526
0.761 0.291 0.523
0.268 0.291 0.029
0.737 0.710 0.474
0.500 0.000 0.500
0.000 0.000 0.500
0.000 0.000 0.000
0.500 0.000 0.000
0.000 0.500 0.500
0.500 0.500 0.000
0.500 0.500 0.500
0.000 0.500 0.000
```


Computed, not measured: crystalline La4GaSe2I at its relaxed geometry at the GGA-PBE level of DFT.

## Properties
- ρ: 6.16 Mg/m³
- Uncorrected formation energy: -1.39 eV/atom

Structure (POSCAR):
```
La4GaSe2I
1.0
4.318 0.000 0.000
0.000 7.674 -0.212
0.000 2.648 7.330
I La Se Ga
1 4 2 1
Direct
0.500 0.500 0.000
0.500 0.241 0.741
0.500 0.759 0.259
0.000 0.230 0.275
0.000 0.770 0.725
0.500 0.000 0.500
0.000 0.000 0.000
0.000 0.500 0.500
```


Computed, not measured: crystalline La4GaSiI2 at its relaxed geometry at the GGA-PBE level of DFT.

## Properties
- ρ: 5.62 Mg/m³
- Uncorrected formation energy: -0.92 eV/atom

Structure (POSCAR):
```
La4GaSiI2
1.0
4.471 0.000 0.000
0.000 7.790 0.145
0.000 -2.721 7.646
Si I La Ga
1 2 4 1
Direct
0.000 0.000 0.000
0.000 0.500 0.500
0.500 0.000 0.500
0.000 0.260 0.791
0.500 0.768 0.794
0.000 0.740 0.209
0.500 0.232 0.206
0.500 0.500 0.000
```


Computed, not measured: crystalline La8Ga3SiI4 at its relaxed geometry at the GGA-PBE level of DFT.

## Properties
- ρ: 5.74 Mg/m³
- Uncorrected formation energy: -0.87 eV/atom

Structure (POSCAR):
```
La8Ga3SiI4
1.0
-2.027 -5.447 6.883
9.007 -1.220 1.687
-3.323 8.368 -0.252
I La Ga Si
4 8 3 1
Direct
0.000 0.000 0.000
0.500 0.000 0.500
0.000 0.000 0.500
0.500 0.000 0.000
0.235 0.710 0.975
0.765 0.290 0.530
0.765 0.290 0.025
0.260 0.290 0.025
0.235 0.710 0.470
0.740 0.710 0.975
0.738 0.714 0.476
0.262 0.286 0.524
0.500 0.500 0.500
0.000 0.500 0.500
0.500 0.500 0.000
0.000 0.500 0.000
```


Computed, not measured: crystalline La6GaSi2I3 at its relaxed geometry at the GGA-PBE level of DFT.

## Properties
- ρ: 5.54 Mg/m³
- Uncorrected formation energy: -0.95 eV/atom

Structure (POSCAR):
```
La6GaSi2I3
1.0
-4.867 -1.023 5.936
-2.491 -0.992 -7.265
4.432 -6.792 0.782
La Si I Ga
6 2 3 1
Direct
0.594 0.932 0.794
0.731 0.731 0.205
0.406 0.068 0.206
0.068 0.406 0.206
0.269 0.269 0.795
0.932 0.594 0.794
0.333 0.667 0.000
0.667 0.333 0.000
0.500 0.500 0.500
0.834 0.166 0.500
0.166 0.834 0.500
0.000 0.000 0.000
```


Computed, not measured: crystalline La6Ga2SiI3 at its relaxed geometry at the GGA-PBE level of DFT.

## Properties
- ρ: 5.70 Mg/m³
- Uncorrected formation energy: -0.88 eV/atom

Structure (POSCAR):
```
La6Ga2SiI3
1.0
-4.140 -1.898 -6.334
7.524 -2.005 0.487
-3.101 -5.316 5.220
La Ga I Si
6 2 3 1
Direct
0.741 0.741 0.210
0.601 0.930 0.790
0.930 0.601 0.790
0.399 0.070 0.210
0.259 0.259 0.790
0.070 0.399 0.210
0.667 0.333 0.000
0.333 0.667 0.000
0.167 0.833 0.500
0.833 0.167 0.500
0.500 0.500 0.500
0.000 0.000 0.000
```


Computed, not measured: crystalline La8GaSi3I4 at its relaxed geometry at the GGA-PBE level of DFT.

## Properties
- ρ: 5.51 Mg/m³
- Uncorrected formation energy: -0.97 eV/atom

Structure (POSCAR):
```
La8GaSi3I4
1.0
-0.357 8.899 -0.447
-0.985 -0.504 -9.250
-5.766 -4.440 5.154
Si Ga I La
3 1 4 8
Direct
0.500 0.500 0.500
0.500 0.500 0.000
0.000 0.500 0.500
0.000 0.500 0.000
0.500 0.000 0.500
0.000 0.000 0.500
0.500 0.000 0.000
0.000 0.000 0.000
0.732 0.705 0.969
0.236 0.705 0.969
0.268 0.295 0.031
0.236 0.705 0.473
0.734 0.702 0.468
0.764 0.295 0.527
0.266 0.298 0.532
0.764 0.295 0.031
```


Computed, not measured: crystalline La8Ga3SnI4 at its relaxed geometry at the GGA-PBE level of DFT.

## Properties
- ρ: 5.88 Mg/m³
- Uncorrected formation energy: -0.86 eV/atom

Structure (POSCAR):
```
La8Ga3SnI4
1.0
-2.022 8.080 3.827
-7.187 -3.846 4.321
8.375 -3.585 1.017
Ga La I Sn
3 8 4 1
Direct
0.500 0.500 0.000
0.500 0.500 0.500
0.000 0.500 0.500
0.730 0.717 0.974
0.263 0.289 0.526
0.737 0.711 0.474
0.243 0.717 0.974
0.757 0.283 0.513
0.243 0.717 0.487
0.270 0.283 0.026
0.757 0.283 0.026
0.500 0.000 0.000
0.500 0.000 0.500
0.000 0.000 0.000
0.000 0.000 0.500
0.000 0.500 0.000
```


Computed, not measured: crystalline La8Ga3TeI4 at its relaxed geometry at the GGA-PBE level of DFT.

## Properties
- ρ: 5.93 Mg/m³
- Uncorrected formation energy: -0.97 eV/atom

Structure (POSCAR):
```
La8Ga3TeI4
1.0
9.126 0.000 0.000
0.000 9.242 0.076
-4.563 -4.559 6.456
La Te I Ga
8 1 4 3
Direct
0.754 0.285 0.031
0.277 0.285 0.031
0.754 0.285 0.508
0.246 0.715 0.492
0.264 0.291 0.527
0.736 0.709 0.473
0.246 0.715 0.969
0.723 0.715 0.969
0.000 0.500 0.000
0.000 0.000 0.000
0.500 0.000 0.500
0.000 0.000 0.500
0.500 0.000 0.000
0.500 0.500 0.500
0.000 0.500 0.500
0.500 0.500 0.000
```


Computed, not measured: crystalline La6Ga2TeI3 at its relaxed geometry at the GGA-PBE level of DFT.

## Properties
- ρ: 5.98 Mg/m³
- Uncorrected formation energy: -1.02 eV/atom

Structure (POSCAR):
```
La6Ga2TeI3
1.0
7.898 0.007 0.003
-3.941 6.845 0.003
-1.316 -2.279 7.596
Te Ga La I
1 2 6 3
Direct
0.000 0.000 0.000
0.668 0.332 0.000
0.332 0.668 0.000
0.578 0.927 0.783
0.720 0.720 0.212
0.927 0.578 0.783
0.280 0.280 0.788
0.422 0.073 0.217
0.073 0.422 0.217
0.161 0.839 0.500
0.839 0.161 0.500
0.500 0.500 0.500
```


Computed, not measured: crystalline La4GaTeI2 at its relaxed geometry at the GGA-PBE level of DFT.

## Properties
- ρ: 6.07 Mg/m³
- Uncorrected formation energy: -1.09 eV/atom

Structure (POSCAR):
```
La4GaTeI2
1.0
4.566 0.000 0.000
0.000 7.999 -0.181
0.000 2.792 7.477
I Ga La Te
2 1 4 1
Direct
0.000 0.000 0.000
0.500 0.000 0.500
0.500 0.500 0.000
0.500 0.722 0.239
0.000 0.713 0.780
0.500 0.278 0.761
0.000 0.287 0.220
0.000 0.500 0.500
```


Computed, not measured: crystalline La8GaTe4I3 at its relaxed geometry at the GGA-PBE level of DFT.

## Properties
- ρ: 6.32 Mg/m³
- Uncorrected formation energy: -1.26 eV/atom

Structure (POSCAR):
```
La8GaTe4I3
1.0
9.187 0.000 0.000
0.000 9.141 -0.038
-4.593 -4.589 6.499
La I Te Ga
8 3 4 1
Direct
0.238 0.748 0.476
0.228 0.252 0.990
0.762 0.252 0.990
0.772 0.748 0.010
0.756 0.768 0.512
0.238 0.748 0.010
0.762 0.252 0.524
0.244 0.232 0.488
0.000 0.500 0.500
0.500 0.500 0.500
0.500 0.500 0.000
0.500 0.000 0.500
0.000 0.000 0.500
0.000 0.000 0.000
0.500 0.000 0.000
0.000 0.500 0.000
```


Computed, not measured: crystalline La8GaTe3I4 at its relaxed geometry at the GGA-PBE level of DFT.

## Properties
- ρ: 6.25 Mg/m³
- Uncorrected formation energy: -1.20 eV/atom

Structure (POSCAR):
```
La8GaTe3I4
1.0
-0.499 -8.694 2.986
8.640 -1.448 -2.772
-1.901 6.951 5.729
La Ga I Te
8 1 4 3
Direct
0.231 0.721 0.461
0.231 0.721 0.990
0.769 0.279 0.010
0.769 0.279 0.539
0.256 0.267 0.512
0.240 0.279 0.010
0.744 0.733 0.488
0.760 0.721 0.990
0.000 0.500 0.000
0.000 0.000 0.500
0.000 0.000 0.000
0.500 0.000 0.000
0.500 0.000 0.500
0.000 0.500 0.500
0.500 0.500 0.500
0.500 0.500 0.000
```


Computed, not measured: crystalline La4TlGaI2 at its relaxed geometry at the GGA-PBE level of DFT.

## Properties
- ρ: 6.48 Mg/m³
- Uncorrected formation energy: -0.76 eV/atom

Structure (POSCAR):
```
La4TlGaI2
1.0
4.572 0.000 0.000
0.000 8.080 0.189
0.000 -2.774 7.454
La Tl Ga I
4 1 1 2
Direct
0.500 0.254 0.228
0.000 0.729 0.218
0.500 0.746 0.772
0.000 0.271 0.782
0.000 0.000 0.000
0.500 0.500 0.000
0.000 0.500 0.500
0.500 0.000 0.500
```


Computed, not measured: crystalline LaZnGaI2 at its relaxed geometry at the GGA-PBE level of DFT.

## Properties
- ρ: 3.26 Mg/m³
- Uncorrected formation energy: -0.26 eV/atom

Structure (POSCAR):
```
LaZnGaI2
1.0
-2.051 -3.582 4.897
-3.434 -3.724 -4.162
5.055 -3.867 -0.711
I Ga Zn La
2 1 1 1
Direct
0.500 0.000 0.000
0.000 0.000 0.500
0.000 0.500 0.000
0.500 0.500 0.500
0.000 0.000 0.000
```


Computed, not measured: crystalline La8Zn3GaI4 at its relaxed geometry at the GGA-PBE level of DFT.

## Properties
- ρ: 5.93 Mg/m³
- Uncorrected formation energy: -0.66 eV/atom

Structure (POSCAR):
```
La8Zn3GaI4
1.0
-4.844 3.443 6.541
-7.756 -3.237 -4.041
6.463 -5.735 1.835
La Zn Ga I
8 3 1 4
Direct
0.259 0.276 0.517
0.742 0.723 0.982
0.258 0.277 0.018
0.240 0.723 0.982
0.760 0.277 0.018
0.741 0.724 0.483
0.760 0.277 0.520
0.240 0.723 0.480
0.500 0.500 0.500
0.000 0.500 0.500
0.500 0.500 0.000
0.000 0.500 0.000
0.000 0.000 0.000
0.500 0.000 0.500
0.000 0.000 0.500
0.500 0.000 0.000
```